(1)
The following is a DFT calculation (GGA-PBE) of a relaxed Cd2Rh2N crystal.

abc: 5.539 5.539 5.298
angles: 90.00 90.00 90.00
Fractional positions:
Cd1 0.177 0.323 0.000
Cd2 0.323 0.823 0.000
Cd3 0.677 0.177 0.000
Cd4 0.823 0.677 0.000
Rh1 0.194 0.694 0.500
Rh2 0.306 0.194 0.500
Rh3 0.694 0.806 0.500
Rh4 0.806 0.306 0.500
N1 0.000 0.000 0.500
N2 0.500 0.500 0.500

## Properties
Fermi-level density of states	2.9	states/eV/f.u.
magnetic moment	0.00	μB/cell
formation energy from raw total energies	0.22	eV per atom

***

(2)
The following is a DFT calculation (GGA-PBE) of a relaxed CaAcGe4 crystal.

abc: 5.844 5.844 5.844
angles: 60.00 60.00 60.00
Fractional positions:
Ca1 0.000 0.000 0.000
Ac1 0.250 0.250 0.250
Ge1 0.119 0.627 0.627
Ge2 0.627 0.119 0.627
Ge3 0.627 0.627 0.119
Ge4 0.627 0.627 0.627

## Properties
ΔE_f	-359	meV/atom
Fermi-level density of states	5.2	states/eV/f.u.
magnetic moment	0.00	μB/cell
energy above the lowest structure with this stoichiometry	73.6	meV per atom

***

(3)
The following is a DFT calculation (GGA-PBE) of a relaxed Ca2AlCdAg6 crystal.

abc: 5.372 5.565 7.912
angles: 97.42 107.91 100.12
Fractional positions:
Ca1 0.061 0.307 0.188
Ca2 0.939 0.693 0.812
Al1 0.500 0.000 0.500
Cd1 0.500 0.500 0.000
Ag1 0.025 0.172 0.673
Ag2 0.322 0.573 0.594
Ag3 0.447 0.955 0.160
Ag4 0.553 0.045 0.840
Ag5 0.678 0.427 0.406
Ag6 0.975 0.828 0.327

## Properties
ΔE_f	-126	meV/atom
Fermi-level density of states	3.9	states/eV/f.u.
magnetic moment	0.00	μB/cell

***

(4)
The following is a DFT calculation (GGA-PBE) of a relaxed InTcRh2 crystal.

abc: 2.862 4.656 9.592
angles: 90.00 90.00 90.00
Fractional positions:
In1 0.000 0.000 0.000
In2 0.500 0.500 0.500
Tc1 0.000 0.500 0.232
Tc2 0.500 0.000 0.732
Rh1 0.000 0.000 0.507
Rh2 0.000 0.500 0.761
Rh3 0.500 0.000 0.261
Rh4 0.500 0.500 0.007

## Properties
ΔE_f	103	meV/atom
Fermi-level density of states	5.1	states/eV/f.u.
magnetic moment	0.00	μB/cell

***

(5)
The following is a DFT calculation (GGA-PBE) of a relaxed KAgS2 crystal.

abc: 7.028 7.028 7.028
angles: 90.00 90.00 90.00
Fractional positions:
K1 0.000 0.000 0.000
K2 0.000 0.500 0.500
K3 0.500 0.000 0.500
K4 0.500 0.500 0.000
Ag1 0.000 0.000 0.500
Ag2 0.000 0.500 0.000
Ag3 0.500 0.000 0.000
Ag4 0.500 0.500 0.500
S1 0.250 0.250 0.250
S2 0.250 0.250 0.750
S3 0.250 0.750 0.250
S4 0.250 0.750 0.750
S5 0.750 0.250 0.250
S6 0.750 0.250 0.750
S7 0.750 0.750 0.250
S8 0.750 0.750 0.750

## Properties
Fermi-level density of states	3.6	states/eV/f.u.
magnetic moment	7.24	μB/cell
energy above the lowest structure with this stoichiometry	548.6	meV per atom
formation energy from raw total energies	0.07	eV per atom

***

(6)
The following is a DFT calculation (GGA-PBE) of a relaxed ZrNi crystal.

abc: 4.615 4.615 7.341
angles: 90.00 90.00 120.00
Fractional positions:
Zr1 0.000 0.000 0.250
Zr2 0.000 0.000 0.750
Zr3 0.333 0.667 0.250
Zr4 0.667 0.333 0.750
Ni1 0.333 0.667 0.585
Ni2 0.333 0.667 0.915
Ni3 0.667 0.333 0.085
Ni4 0.667 0.333 0.415

## Properties
ΔE_f	209	meV/atom
Fermi-level density of states	1.2	states/eV/f.u.
magnetic moment	0.00	μB/cell

***

(7)
The following is a DFT calculation (GGA-PBE) of a relaxed CoSiBi2 crystal.

abc: 6.165 6.165 12.131
angles: 90.00 90.00 90.00
Fractional positions:
Co1 0.000 0.000 0.000
Co2 0.000 0.500 0.250
Co3 0.500 0.000 0.750
Co4 0.500 0.500 0.500
Si1 0.000 0.000 0.500
Si2 0.000 0.500 0.750
Si3 0.500 0.000 0.250
Si4 0.500 0.500 0.000
Bi1 0.221 0.250 0.125
Bi2 0.250 0.721 0.375
Bi3 0.250 0.779 0.875
Bi4 0.279 0.250 0.625
Bi5 0.721 0.750 0.625
Bi6 0.750 0.221 0.875
Bi7 0.750 0.279 0.375
Bi8 0.779 0.750 0.125

## Properties
Fermi-level density of states	3.2	states/eV/f.u.
magnetic moment	4.19	μB/cell
formation energy from raw total energies	0.54	eV per atom

***

(8)
The following is a DFT calculation (GGA-PBE) of a relaxed CoP2 crystal.

abc: 5.378 5.378 5.142
angles: 90.00 90.00 90.00
Fractional positions:
Co1 0.000 0.000 0.250
Co2 0.000 0.000 0.750
Co3 0.500 0.500 0.250
Co4 0.500 0.500 0.750
P1 0.151 0.349 0.000
P2 0.151 0.651 0.500
P3 0.349 0.151 0.500
P4 0.349 0.849 0.000
P5 0.651 0.151 0.000
P6 0.651 0.849 0.500
P7 0.849 0.349 0.500
P8 0.849 0.651 0.000

## Properties
ΔE_f	-13	meV/atom
Fermi-level density of states	2.5	states/eV/f.u.
magnetic moment	0.00	μB/cell

***

(9)
The following is a DFT calculation (GGA-PBE) of a relaxed Li2Mg2GaPd5 crystal.

abc: 9.456 9.456 3.383
angles: 90.00 90.00 90.00
Fractional positions:
Li1 0.125 0.375 0.000
Li2 0.375 0.875 0.000
Li3 0.625 0.125 0.000
Li4 0.875 0.625 0.000
Mg1 0.173 0.673 0.000
Mg2 0.327 0.173 0.000
Mg3 0.673 0.827 0.000
Mg4 0.827 0.327 0.000
Ga1 0.000 0.000 0.000
Ga2 0.500 0.500 0.000
Pd1 0.000 0.500 0.500
Pd2 0.071 0.199 0.500
Pd3 0.199 0.929 0.500
Pd4 0.301 0.429 0.500
Pd5 0.429 0.699 0.500
Pd6 0.500 0.000 0.500
Pd7 0.571 0.301 0.500
Pd8 0.699 0.571 0.500
Pd9 0.801 0.071 0.500
Pd10 0.929 0.801 0.500

## Properties
ΔE_f	-523	meV/atom
Fermi-level density of states	2.0	states/eV/f.u.
magnetic moment	0.00	μB/cell

***

(10)
The following is a DFT calculation (GGA-PBE) of a relaxed Cs2Tl4Hg3Au crystal.

abc: 5.399 5.399 12.557
angles: 90.00 90.00 90.00
Fractional positions:
Cs1 0.000 0.500 0.237
Cs2 0.500 0.000 0.763
Tl1 0.000 0.000 0.500
Tl2 0.000 0.500 0.893
Tl3 0.500 0.000 0.107
Tl4 0.500 0.500 0.500
Hg1 0.000 0.000 0.000
Hg2 0.000 0.500 0.631
Hg3 0.500 0.000 0.369
Au1 0.500 0.500 0.000

## Properties
ΔE_f	-138	meV/atom
Fermi-level density of states	5.7	states/eV/f.u.
magnetic moment	0.00	μB/cell

***

(11)
The following is a DFT calculation (GGA-PBE) of a relaxed Cd3FeRu crystal.

abc: 5.119 5.119 5.119
angles: 90.00 90.00 90.00
Fractional positions:
Cd1 0.000 0.000 0.500
Cd2 0.000 0.500 0.000
Cd3 0.500 0.000 0.000
Fe1 0.500 0.500 0.500
Ru1 0.000 0.000 0.000

## Properties
ΔE_f	1164	meV/atom
Fermi-level density of states	12.5	states/eV/f.u.
magnetic moment	4.37	μB/cell

***

(12)
The following is a DFT calculation (GGA-PBE) of a relaxed AlPd4Au crystal.

abc: 4.088 11.274 4.044
angles: 90.00 90.00 90.00
Fractional positions:
Al1 0.000 0.000 0.000
Al2 0.500 0.500 0.000
Pd1 0.000 0.163 0.500
Pd2 0.000 0.336 0.000
Pd3 0.000 0.664 0.000
Pd4 0.000 0.837 0.500
Pd5 0.500 0.164 0.000
Pd6 0.500 0.337 0.500
Pd7 0.500 0.663 0.500
Pd8 0.500 0.836 0.000
Au1 0.000 0.500 0.500
Au2 0.500 0.000 0.500

## Properties
ΔE_f	-402	meV/atom
Fermi-level density of states	3.1	states/eV/f.u.
magnetic moment	0.00	μB/cell
energy above the lowest structure with this stoichiometry	15.0	meV per atom

***

Density in Mg/m³, matching the order above: 9.086, 6.561, 6.625, 10.875, 4.040, 7.353, 7.275, 5.398, 7.294, 8.539, 6.116, 11.576
Uncorrected energy in eV per atom, matching the order above: -4.754, -4.456, -2.703, -6.849, -2.981, -6.956, -4.529, -5.988, -4.124, -1.674, -2.933, -5.034